Below is LaMgZr after structural relaxation, with properties calculated at the PBE level.

Calculated values
Raw total energy = -4.888 eV per atom
Offset from the most stable computed form = 86 meV/atom
Volume = 26.65 Å³/atom
Crystal system = orthorhombic
DOS(E_F) = 2.50 states/eV per cell

POSCAR file:
```
LaMgZr
1.0
-1.677 2.312 5.153
1.677 -2.312 5.153
1.677 2.312 -5.153
La Mg Zr
1 1 1
Direct
0.000 0.000 0.000
0.673 0.673 0.000
0.314 0.314 0.000
```

---

Below is Li2IrCl after structural relaxation, with properties calculated at the PBE level.

Calculated values
Raw total energy = -3.877 eV per atom
Energy relative to the elements, uncorrected = -0.244 eV per atom
Offset from the most stable computed form = 340 meV/atom
Volume = 17.60 Å³/atom
Crystal system = orthorhombic
DOS(E_F) = 2.18 states/eV per cell

POSCAR file:
```
Li2IrCl
1.0
3.020 0.000 0.000
0.000 3.059 0.000
0.000 0.000 7.622
Li Ir Cl
2 1 1
Direct
0.000 0.000 0.000
0.500 0.500 0.225
0.500 0.500 0.809
0.000 0.000 0.312
```

---

Below is OsBr2Cl after structural relaxation, with properties calculated at the PBE level.

Calculated values
Raw total energy = -2.747 eV per atom
Energy relative to the elements, uncorrected = 1.358 eV per atom
Offset from the most stable computed form = 1353 meV/atom
Volume = 19.12 Å³/atom
Crystal system = tetragonal
DOS(E_F) = 5.00 states/eV per cell

POSCAR file:
```
OsBr2Cl
1.0
4.969 0.000 0.000
0.000 4.969 0.000
0.000 0.000 3.097
Os Br Cl
1 2 1
Direct
0.000 0.000 0.000
0.000 0.500 0.500
0.500 0.000 0.500
0.500 0.500 0.000
```

---

Below is Rb2Tl2InHg after structural relaxation, with properties calculated at the PBE level.

Calculated values
Raw total energy = -1.719 eV per atom
Volume = 39.55 Å³/atom
Crystal system = orthorhombic
DOS(E_F) = 7.24 states/eV per cell

POSCAR file:
```
Rb2Tl2InHg
1.0
-3.743 8.575 3.697
3.743 -8.575 3.697
3.743 8.575 -3.697
Rb Tl In Hg
4 4 2 2
Direct
0.166 0.236 0.402
0.334 0.736 0.070
0.666 0.264 0.930
0.834 0.764 0.598
0.101 0.739 0.840
0.399 0.239 0.638
0.601 0.761 0.362
0.899 0.261 0.160
0.250 0.750 0.500
0.750 0.250 0.500
0.250 0.250 0.000
0.750 0.750 0.000
```

---

Below is SrLaAu2 after structural relaxation, with properties calculated at the PBE level.

Calculated values
Raw total energy = -4.076 eV per atom
Volume = 28.81 Å³/atom
Crystal system = orthorhombic
DOS(E_F) = 2.44 states/eV per cell

POSCAR file:
```
SrLaAu2
1.0
4.895 0.000 0.000
0.000 2.053 5.734
0.000 -2.053 5.734
Sr La Au
1 1 2
Direct
0.000 0.000 0.000
0.500 0.730 0.730
0.000 0.275 0.275
0.500 0.445 0.445
```

---

Below is TiCuPd after structural relaxation, with properties calculated at the PBE level.

Calculated values
Raw total energy = -6.036 eV per atom
Offset from the most stable computed form = 121 meV/atom
Volume = 14.48 Å³/atom
Crystal system = monoclinic
DOS(E_F) = 4.04 states/eV per cell

POSCAR file:
```
TiCuPd
1.0
2.766 0.000 0.000
0.000 3.934 0.000
-0.026 0.000 7.987
Ti Cu Pd
2 2 2
Direct
0.000 0.000 0.177
0.000 0.000 0.823
0.499 0.500 0.658
0.501 0.500 0.342
0.000 0.000 0.500
0.500 0.500 0.000
```